DFT (PBE) results for a relaxed structure of CeZrTc4.

The structure in CIF format:
```
data_CeZrTc4
_chemical_formula_sum 'Ce4 Zr4 Tc16'
_space_group_name_H-M_alt 'F -4 3 m'
_space_group_IT_number 216
_space_group_name_Hall 'F -4 2 3'
_cell_length_a 7.583
_cell_length_b 7.583
_cell_length_c 7.583
_cell_angle_alpha 90.00
_cell_angle_beta 90.00
_cell_angle_gamma 90.00
loop_
_atom_site_label
_atom_site_type_symbol
_atom_site_fract_x
_atom_site_fract_y
_atom_site_fract_z
Ce1 Ce 0.000 0.000 0.000
Zr1 Zr 0.250 0.250 0.750
Tc1 Tc 0.125 0.125 0.375
```

Computed properties:
* raw total energy: -56.54 eV/f.u.
* calculated volume: 436.10 Å³ per cell
* formation energy: -100 meV per atom

DFT (PBE) results for a relaxed structure of CeTe2.

The structure in CIF format:
```
data_CeTe2
_chemical_formula_sum 'Ce2 Te4'
_space_group_name_H-M_alt 'I 4/m m m'
_space_group_IT_number 139
_space_group_name_Hall '-I 4 2'
_cell_length_a 4.073
_cell_length_b 4.073
_cell_length_c 10.327
_cell_angle_alpha 90.00
_cell_angle_beta 90.00
_cell_angle_gamma 90.00
loop_
_atom_site_label
_atom_site_type_symbol
_atom_site_fract_x
_atom_site_fract_y
_atom_site_fract_z
Ce1 Ce 0.000 0.000 0.000
Te1 Te 0.000 0.000 0.347
```

Computed properties:
* raw total energy: -15.63 eV/f.u.
* ΔE_f (raw): -1137 meV per atom
* calculated volume: 171.32 Å³ per cell

DFT (PBE) results for a relaxed structure of Ce2Te3.

The structure in CIF format:
```
data_Ce2Te3
_chemical_formula_sum 'Ce8 Te12'
_space_group_name_H-M_alt 'P n m a'
_space_group_IT_number 62
_space_group_name_Hall '-P 2ac 2n'
_cell_length_a 12.258
_cell_length_b 4.446
_cell_length_c 11.933
_cell_angle_alpha 90.00
_cell_angle_beta 90.00
_cell_angle_gamma 90.00
loop_
_atom_site_label
_atom_site_type_symbol
_atom_site_fract_x
_atom_site_fract_y
_atom_site_fract_z
Ce1 Ce 0.013 0.250 0.187
Ce2 Ce 0.195 0.250 0.501
Te1 Te 0.047 0.750 0.374
Te2 Te 0.122 0.250 0.942
Te3 Te 0.228 0.750 0.702
```

Computed properties:
* raw total energy: -28.21 eV/f.u.
* ΔE_f (raw): -1384 meV per atom
* calculated volume: 650.24 Å³ per cell

DFT (PBE) results for a relaxed structure of Ce4Te5.

The structure in CIF format:
```
data_Ce4Te5
_chemical_formula_sum 'Ce8 Te10'
_space_group_name_H-M_alt 'I m m m'
_space_group_IT_number 71
_space_group_name_Hall '-I 2 2'
_cell_length_a 4.064
_cell_length_b 9.645
_cell_length_c 14.520
_cell_angle_alpha 90.00
_cell_angle_beta 90.00
_cell_angle_gamma 90.00
loop_
_atom_site_label
_atom_site_type_symbol
_atom_site_fract_x
_atom_site_fract_y
_atom_site_fract_z
Ce1 Ce 0.000 0.194 0.138
Te1 Te 0.000 0.154 0.500
Te2 Te 0.000 0.500 0.235
Te3 Te 0.000 0.500 0.500
```

Computed properties:
* raw total energy: -49.35 eV/f.u.
* ΔE_f (raw): -1101 meV per atom
* calculated volume: 569.14 Å³ per cell

DFT (PBE) results for a relaxed structure of Ce2Te3.

The structure in CIF format:
```
data_Ce2Te3
_chemical_formula_sum 'Ce4 Te6'
_space_group_name_H-M_alt 'I 4/m m m'
_space_group_IT_number 139
_space_group_name_Hall '-I 4 2'
_cell_length_a 4.052
_cell_length_b 4.052
_cell_length_c 18.068
_cell_angle_alpha 90.00
_cell_angle_beta 90.00
_cell_angle_gamma 90.00
loop_
_atom_site_label
_atom_site_type_symbol
_atom_site_fract_x
_atom_site_fract_y
_atom_site_fract_z
Ce1 Ce 0.000 0.000 0.115
Te1 Te 0.000 0.000 0.305
Te2 Te 0.000 0.000 0.500
```

Computed properties:
* raw total energy: -27.37 eV/f.u.
* ΔE_f (raw): -1215 meV per atom
* calculated volume: 296.63 Å³ per cell

DFT (PBE) results for a relaxed structure of Ce3Te.

The structure in CIF format:
```
data_Ce3Te
_chemical_formula_sum 'Ce3 Te1'
_space_group_name_H-M_alt 'P m -3 m'
_space_group_IT_number 221
_space_group_name_Hall '-P 4 2 3'
_cell_length_a 4.711
_cell_length_b 4.711
_cell_length_c 4.711
_cell_angle_alpha 90.00
_cell_angle_beta 90.00
_cell_angle_gamma 90.00
loop_
_atom_site_label
_atom_site_type_symbol
_atom_site_fract_x
_atom_site_fract_y
_atom_site_fract_z
Ce1 Ce 0.000 0.000 0.500
Te1 Te 0.500 0.500 0.500
```

Computed properties:
* raw total energy: -23.38 eV/f.u.
* ΔE_f (raw): -610 meV per atom
* calculated volume: 104.58 Å³ per cell

DFT (PBE) results for a relaxed structure of Ce3Te.

The structure in CIF format:
```
data_Ce3Te
_chemical_formula_sum 'Ce3 Te1'
_space_group_name_H-M_alt 'P m m 2'
_space_group_IT_number 25
_space_group_name_Hall 'P 2 -2'
_cell_length_a 3.655
_cell_length_b 5.271
_cell_length_c 5.681
_cell_angle_alpha 90.00
_cell_angle_beta 90.00
_cell_angle_gamma 90.00
loop_
_atom_site_label
_atom_site_type_symbol
_atom_site_fract_x
_atom_site_fract_y
_atom_site_fract_z
Ce1 Ce 0.000 0.000 0.000
Ce2 Ce 0.000 0.500 0.409
Ce3 Ce 0.500 0.000 0.541
Te1 Te 0.500 0.500 0.896
```

Computed properties:
* raw total energy: -22.97 eV/f.u.
* ΔE_f (raw): -506 meV per atom
* calculated volume: 109.44 Å³ per cell

DFT (PBE) results for a relaxed structure of Ce5Te.

The structure in CIF format:
```
data_Ce5Te
_chemical_formula_sum 'Ce10 Te2'
_space_group_name_H-M_alt 'C m m m'
_space_group_IT_number 65
_space_group_name_Hall '-C 2 2'
_cell_length_a 4.688
_cell_length_b 14.728
_cell_length_c 4.604
_cell_angle_alpha 90.00
_cell_angle_beta 90.00
_cell_angle_gamma 90.00
loop_
_atom_site_label
_atom_site_type_symbol
_atom_site_fract_x
_atom_site_fract_y
_atom_site_fract_z
Ce1 Ce 0.000 0.000 0.000
Ce2 Ce 0.000 0.162 0.500
Ce3 Ce 0.000 0.334 0.000
Te1 Te 0.000 0.500 0.500
```

Computed properties:
* raw total energy: -34.80 eV/f.u.
* ΔE_f (raw): -332 meV per atom
* calculated volume: 317.92 Å³ per cell

DFT (PBE) results for a relaxed structure of Ce6Te.

The structure in CIF format:
```
data_Ce6Te
_chemical_formula_sum 'Ce12 Te2'
_space_group_name_H-M_alt 'I m -3 m'
_space_group_IT_number 229
_space_group_name_Hall '-I 4 2 3'
_cell_length_a 7.601
_cell_length_b 7.601
_cell_length_c 7.601
_cell_angle_alpha 90.00
_cell_angle_beta 90.00
_cell_angle_gamma 90.00
loop_
_atom_site_label
_atom_site_type_symbol
_atom_site_fract_x
_atom_site_fract_y
_atom_site_fract_z
Ce1 Ce 0.000 0.250 0.500
Te1 Te 0.000 0.000 0.000
```

Computed properties:
* raw total energy: -33.75 eV/f.u.
* ΔE_f (raw): 714 meV per atom
* calculated volume: 439.21 Å³ per cell

DFT (PBE) results for a relaxed structure of Ce3Te.

The structure in CIF format:
```
data_Ce3Te
_chemical_formula_sum 'Ce6 Te2'
_space_group_name_H-M_alt 'I 4/m m m'
_space_group_IT_number 139
_space_group_name_Hall '-I 4 2'
_cell_length_a 4.660
_cell_length_b 4.660
_cell_length_c 9.717
_cell_angle_alpha 90.00
_cell_angle_beta 90.00
_cell_angle_gamma 90.00
loop_
_atom_site_label
_atom_site_type_symbol
_atom_site_fract_x
_atom_site_fract_y
_atom_site_fract_z
Ce1 Ce 0.000 0.000 0.000
Ce2 Ce 0.000 0.500 0.250
Te1 Te 0.000 0.000 0.500
```

Computed properties:
* raw total energy: -23.04 eV/f.u.
* ΔE_f (raw): -525 meV per atom
* calculated volume: 211.03 Å³ per cell

DFT (PBE) results for a relaxed structure of Ce5Te7.

The structure in CIF format:
```
data_Ce5Te7
_chemical_formula_sum 'Ce10 Te14'
_space_group_name_H-M_alt 'C 1 2/m 1'
_space_group_IT_number 12
_space_group_name_Hall '-C 2y'
_cell_length_a 14.776
_cell_length_b 4.386
_cell_length_c 13.485
_cell_angle_alpha 90.00
_cell_angle_beta 104.94
_cell_angle_gamma 90.00
loop_
_atom_site_label
_atom_site_type_symbol
_atom_site_fract_x
_atom_site_fract_y
_atom_site_fract_z
Ce1 Ce 0.000 0.000 0.000
Ce2 Ce 0.119 0.000 0.426
Ce3 Ce 0.198 0.500 0.810
Te1 Te 0.000 0.500 0.500
Te2 Te 0.037 0.000 0.783
Te3 Te 0.160 0.500 0.050
Te4 Te 0.239 0.500 0.347
```

Computed properties:
* raw total energy: -67.68 eV/f.u.
* ΔE_f (raw): -1335 meV per atom
* calculated volume: 844.35 Å³ per cell

DFT (PBE) results for a relaxed structure of Ce3Te.

The structure in CIF format:
```
data_Ce3Te
_chemical_formula_sum 'Ce6 Te2'
_space_group_name_H-M_alt 'I m m 2'
_space_group_IT_number 44
_space_group_name_Hall 'I 2 -2'
_cell_length_a 3.865
_cell_length_b 10.322
_cell_length_c 5.596
_cell_angle_alpha 90.00
_cell_angle_beta 90.00
_cell_angle_gamma 90.00
loop_
_atom_site_label
_atom_site_type_symbol
_atom_site_fract_x
_atom_site_fract_y
_atom_site_fract_z
Ce1 Ce 0.000 0.000 0.000
Ce2 Ce 0.000 0.221 0.686
Te1 Te 0.000 0.500 0.973
```

Computed properties:
* raw total energy: -23.22 eV/f.u.
* ΔE_f (raw): -569 meV per atom
* calculated volume: 223.24 Å³ per cell